# 1
SnPPtCl2 | PBE | relaxed

Computed properties:
The calculation puts the offset from the most stable computed form at 0.0 meV per atom. The value obtained for the total moment is 0.00 Bohr magnetons per cell. The calculation puts the density at 5.96 g cm⁻³. For the volume, the calculation gives 23.16 Å³/atom. The calculation puts the formation energy without anion corrections at 0.07 eV/atom.

Cell: 4.932 4.932 4.761 Å, 90.00 90.00 90.00°
Space group P4/mmm (No. 123)
Inequivalent atoms, fractional coordinates:
Sn (0.000, 0.000, 0.000) x1
P (0.500, 0.500, 0.000) x1
Pt (0.500, 0.500, 0.500) x1
Cl (0.000, 0.500, 0.500) x2



# 2
SnPPtCl2 | PBE | relaxed

Computed properties:
The calculation puts the offset from the most stable computed form at 659.2 meV per atom. The value obtained for the total moment is 0.61 Bohr magnetons per cell. The calculation puts the density at 5.26 g cm⁻³. For the volume, the calculation gives 26.23 Å³/atom. The calculation puts the formation energy without anion corrections at 0.73 eV/atom.

Cell: 4.940 4.940 5.374 Å, 90.00 90.00 90.00°
Space group P4/mmm (No. 123)
Inequivalent atoms, fractional coordinates:
Sn (0.000, 0.000, 0.000) x1
P (0.000, 0.000, 0.500) x1
Pt (0.500, 0.500, 0.500) x1
Cl (0.000, 0.500, 0.000) x2



# 3
SrP2PtCl | PBE | relaxed

Computed properties:
The calculation puts the offset from the most stable computed form at 0.0 meV per atom. The value obtained for the total moment is 0.00 Bohr magnetons per cell. The calculation puts the density at 4.84 g cm⁻³. For the volume, the calculation gives 26.10 Å³/atom. The calculation puts the formation energy without anion corrections at -0.43 eV/atom.

Cell: 4.532 4.532 6.352 Å, 90.00 90.00 90.00°
Space group P4/mmm (No. 123)
Inequivalent atoms, fractional coordinates:
Sr (0.000, 0.000, 0.000) x1
P (0.000, 0.500, 0.500) x2
Pt (0.500, 0.500, 0.500) x1
Cl (0.500, 0.500, 0.000) x1



# 4
Sr6PPt2Cl3 | PBE | relaxed

Computed properties:
The value obtained for the total moment is 0.00 Bohr magnetons per cell. The calculation puts the density at 4.72 g cm⁻³. For the volume, the calculation gives 30.88 Å³/atom. The calculation puts the formation energy without anion corrections at -1.42 eV/atom.

Cell: 7.569 13.126 7.879 Å, 90.00 108.80 90.00°
Space group C2/m (No. 12)
Inequivalent atoms, fractional coordinates:
Sr (0.239, 0.166, 0.221) x8
Sr (0.242, 0.500, 0.220) x4
P (0.000, 0.000, 0.000) x2
Pt (0.000, 0.333, 0.000) x4
Cl (0.000, 0.160, 0.500) x4
Cl (0.000, 0.500, 0.500) x2



# 5
SrP2PtCl | PBE | relaxed

Computed properties:
The calculation puts the offset from the most stable computed form at 1600.8 meV per atom. The value obtained for the total moment is 2.23 Bohr magnetons per cell. The calculation puts the density at 3.64 g cm⁻³. For the volume, the calculation gives 34.68 Å³/atom. The calculation puts the formation energy without anion corrections at 1.17 eV/atom.

Cell: 5.761 5.761 5.224 Å, 90.00 90.00 90.00°
Space group P4/mmm (No. 123)
Inequivalent atoms, fractional coordinates:
Sr (0.000, 0.000, 0.000) x1
P (0.000, 0.500, 0.000) x2
Pt (0.500, 0.500, 0.500) x1
Cl (0.000, 0.000, 0.500) x1



# 6
Sr6P2PtCl3 | PBE | relaxed

Computed properties:
The value obtained for the total moment is 0.03 Bohr magnetons per cell. The calculation puts the density at 4.01 g cm⁻³. For the volume, the calculation gives 30.70 Å³/atom. The calculation puts the formation energy without anion corrections at -1.55 eV/atom.

Cell: 19.250 4.407 8.955 Å, 90.00 104.13 90.00°
Space group C2/m (No. 12)
Inequivalent atoms, fractional coordinates:
Sr (0.005, 0.000, 0.235) x4
Sr (0.159, 0.500, 0.104) x4
Sr (0.174, 0.500, 0.565) x4
P (0.165, 0.000, 0.334) x4
Pt (0.000, 0.500, 0.000) x2
Cl (0.000, 0.500, 0.500) x2
Cl (0.170, 0.000, 0.833) x4